VASP calculation (PBE) on a relaxed structure of MgBi3.

Lattice parameters (Å, degrees): 7.0483 7.0483 5.5406 90.00 90.00 120.00
Space group P6_3/mmc (No. 194)
Inequivalent atoms, fractional coordinates:
Mg (0.3333, 0.6667, 0.2500) x2
Bi (0.1733, 0.3466, 0.7500) x6

Properties
ρ, g cm⁻³: 9.07
Energy of formation, eV per atom: 0.0242
Magnetic moment, μB per formula unit: 0.00
Fermi-level density of states, states/eV per cell: 5.6